VASP calculation (GGA-PBE) on a relaxed structure of AcAs2Ru.

- Energy of formation from the pure elements: -0.0569 eV per atom
- Spin magnetization: 0.001 μB per formula unit
- Space group: P4/mmm, No. 123
- DOS(E_F): 1.31 states/eV/atom
- Calculated volume: 87.6 Å³ per cell
- Relative energy among the computed polymorphs: 0.7645 eV/atom

a b c (Å): 4.425 4.449 4.449
angles (deg): 90.00 90.00 90.00
Positions (direct):
Ru  0.500  0.500  0.500
Ac  0.500  0.000  0.000
As  0.000  0.000  0.500
As  0.000  0.500  0.000

VASP calculation (GGA-PBE) on a relaxed structure of BS2Br.

- Spin magnetization: 0.000 μB per formula unit
- Space group: Fm-3m, No. 225
- DOS(E_F): 0.85 states/eV/atom
- Calculated volume: 65.0 Å³ per cell
- Relative energy among the computed polymorphs: 1.4514 eV/atom

a b c (Å): 4.513 4.513 4.513
angles (deg): 60.00 60.00 60.00
Positions (direct):
B  0.000  0.000  0.000
S  0.250  0.250  0.250
S  0.750  0.750  0.750
Br  0.500  0.500  0.500

VASP calculation (GGA-PBE) on a relaxed structure of CaEuLu2.

- Energy of formation from the pure elements: 0.1736 eV per atom
- Spin magnetization: 8.156 μB per formula unit
- Space group: P4/mmm, No. 123
- DOS(E_F): 1.67 states/eV/atom
- Calculated volume: 137.7 Å³ per cell
- Relative energy among the computed polymorphs: 0.0258 eV/atom

a b c (Å): 3.625 3.625 10.480
angles (deg): 90.00 90.00 90.00
Last column: magnetic moment on the atom in μB.
Positions (direct):
Eu  0.500  0.500  0.000  -6.93
Ca  0.500  0.500  0.500  -0.02
Lu  0.000  0.000  0.242  -0.21
Lu  0.000  0.000  0.758  -0.21

VASP calculation (GGA-PBE) on a relaxed structure of CsBaBi2B.

- Energy of formation from the pure elements: 0.2338 eV per atom
- Spin magnetization: 0.000 μB per formula unit
- Space group: P4/mmm, No. 123
- DOS(E_F): 0.46 states/eV/atom
- Calculated volume: 171.1 Å³ per cell

a b c (Å): 5.497 5.663 5.497
angles (deg): 90.00 90.00 90.00
Positions (direct):
Ba  0.000  0.500  0.000
Cs  0.500  0.500  0.500
B  0.000  0.000  0.000
Bi  0.000  0.000  0.500
Bi  0.500  0.000  0.000

> Look up the spin magnetization of the third one.

8.156 μB per formula unit

> What is the spin magnetization in the third record?

8.156 μB per formula unit

> DOS(E_F) of number 1 (AcAs2Ru)?

1.31 states/eV/atom